This record from Alexandria describes a relaxed Ac4Pm6Ge7 crystal. The functional is PBE-GGA.

## Properties
* space group: Im-3m, No. 229
* DFT total energy: -4.853 eV per atom
* ΔH_f (0 K): -0.3087 eV per atom

```
Ac4Pm6Ge7
1.0
-1.796 1.153 -8.292
5.987 -6.068 0.807
-7.090 -2.417 4.147
Pm Ac Ge
6 4 7
direct
0.306 0.306 0.000
0.000 0.694 0.694
0.694 0.694 0.000
0.000 0.306 0.306
0.306 0.000 0.306
0.694 0.000 0.694
0.500 0.500 0.500
0.000 0.500 0.000
0.000 0.000 0.500
0.500 0.000 0.000
0.750 0.250 0.500
0.250 0.750 0.500
0.000 0.000 0.000
0.750 0.500 0.250
0.500 0.250 0.750
0.250 0.500 0.750
0.500 0.750 0.250
```

***

This record from Alexandria describes a relaxed AcPmGe6 crystal. The functional is PBE-GGA.

## Properties
* space group: P-6m2, No. 187
* DFT total energy: -4.985 eV per atom
* ΔH_f (0 K): -0.4147 eV per atom

```
AcPmGe6
1.0
-3.260 -3.614 1.639
3.610 -4.508 -2.759
1.124 1.735 6.058
Ge Pm Ac
6 1 1
direct
0.500 0.469 0.110
0.500 0.890 0.110
0.000 0.611 0.972
0.500 0.890 0.531
0.000 0.028 0.389
0.000 0.611 0.389
0.000 0.083 0.917
0.500 0.417 0.583
```

***

This record from Alexandria describes a relaxed AcPm2Ge crystal. The functional is PBE-GGA.

## Properties
* space group: R-3m, No. 166
* DFT total energy: -4.685 eV per atom
* ΔH_f (0 K): -0.1278 eV per atom
* E above lowest polymorph: 0.1819 eV/atom

```
AcPm2Ge
1.0
4.034 0.000 0.000
2.017 3.493 0.000
2.017 1.164 10.929
Ac Ge Pm
1 1 2
direct
0.000 0.000 0.000
0.500 0.500 0.500
0.115 0.115 0.655
0.885 0.885 0.345
```

***

This record from Alexandria describes a relaxed Ac2Pm3Ge3 crystal. The functional is PBE-GGA.

## Properties
* space group: Immm, No. 71
* DFT total energy: -4.957 eV per atom
* ΔH_f (0 K): -0.4172 eV per atom

```
Ac2Pm3Ge3
1.0
4.089 0.000 0.000
0.000 5.078 0.000
-2.044 -2.539 11.408
Ge Pm Ac
3 3 2
direct
0.000 0.500 0.000
0.892 0.892 0.784
0.108 0.108 0.216
0.604 0.604 0.207
0.500 0.000 0.000
0.396 0.396 0.793
0.284 0.784 0.568
0.716 0.216 0.432
```

***

Number 2 is which compound?
AcPmGe6

***

The highest DFT total energy belongs to which entry?
AcPm2Ge

***

Among the records above, which one has the lowest DFT total energy?
AcPmGe6

***

Among the records above, which one has the highest DFT total energy?
AcPm2Ge